1.
# Zn5Cu7 | Alexandria via LeMat-Bulk | PBE | optimized geometry
data_Zn5Cu7
_chemical_formula_sum 'Zn10 Cu14'
_space_group_name_H-M_alt 'C 1 m 1'
_space_group_IT_number 8
_space_group_name_Hall 'C -2y'
_cell_length_a 11.160
_cell_length_b 3.707
_cell_length_c 8.384
_cell_angle_alpha 90.00
_cell_angle_beta 116.66
_cell_angle_gamma 90.00
loop_
_atom_site_label
_atom_site_type_symbol
_atom_site_fract_x
_atom_site_fract_y
_atom_site_fract_z
Zn1 Zn 0.000 0.000 0.000
Zn2 Zn 0.068 0.000 0.736
Zn3 Zn 0.158 0.000 0.481
Zn4 Zn 0.244 0.500 0.740
Zn5 Zn 0.328 0.000 0.003
Cu1 Cu 0.077 0.500 0.241
Cu2 Cu 0.161 0.500 0.994
Cu3 Cu 0.246 0.000 0.245
Cu4 Cu 0.325 0.500 0.488
Cu5 Cu 0.409 0.000 0.741
Cu6 Cu 0.409 0.500 0.246
Cu7 Cu 0.492 0.000 0.489
# E above lowest polymorph = 0.007 eV/atom
# N(E_F) = 0.216 states/eV/atom
# energy of formation = -0.06 eV/atom
# total magnetization = 0.000 μB per atom

2.
# ZnCu2 | Alexandria via LeMat-Bulk | PBE | optimized geometry
data_ZnCu2
_chemical_formula_sum 'Zn4 Cu8'
_space_group_name_H-M_alt 'C 1 2/m 1'
_space_group_IT_number 12
_space_group_name_Hall '-C 2y'
_cell_length_a 9.603
_cell_length_b 2.676
_cell_length_c 6.180
_cell_angle_alpha 90.00
_cell_angle_beta 106.73
_cell_angle_gamma 90.00
loop_
_atom_site_label
_atom_site_type_symbol
_atom_site_fract_x
_atom_site_fract_y
_atom_site_fract_z
Zn1 Zn 0.188 0.000 0.139
Cu1 Cu 0.028 0.500 0.797
Cu2 Cu 0.140 0.000 0.532
# N(E_F) = 0.219 states/eV/atom
# energy of formation = -0.06 eV/atom
# total magnetization = 0.000 μB per atom

3.
# Zn4Cu | Alexandria via LeMat-Bulk | PBE | optimized geometry
data_Zn4Cu
_chemical_formula_sum 'Zn8 Cu2'
_space_group_name_H-M_alt 'I m -3 m'
_space_group_IT_number 229
_space_group_name_Hall '-I 4 2 3'
_cell_length_a 5.593
_cell_length_b 5.593
_cell_length_c 5.593
_cell_angle_alpha 90.00
_cell_angle_beta 90.00
_cell_angle_gamma 90.00
loop_
_atom_site_label
_atom_site_type_symbol
_atom_site_fract_x
_atom_site_fract_y
_atom_site_fract_z
Zn1 Zn 0.250 0.250 0.250
Cu1 Cu 0.000 0.000 0.000
# E above lowest polymorph = 0.135 eV/atom
# N(E_F) = 0.387 states/eV/atom
# energy of formation = 0.11 eV/atom
# total magnetization = 0.000 μB per atom